(1)
## Li3PbC (PBE-GGA)

Data for a geometry-optimized Li3PbC structure.

Energy relative to the lowest polymorph listed for this composition in meV/atom: 0
M_tot in μB per atom: 0.000
Formation enthalpy at 0 K in eV/atom: 0.3616

```
Li3PbC
1.0
4.217 0.000 0.000
0.000 4.217 0.000
0.000 0.000 4.217
Li Pb C
3 1 1
direct
0.000 0.000 0.500 Li
0.000 0.500 0.000 Li
0.500 0.000 0.000 Li
0.500 0.500 0.500 Pb
0.000 0.000 0.000 C
```

=====

(2)
## TaMn2Pd2 (PBE-GGA)

Data for a geometry-optimized TaMn2Pd2 structure.

M_tot in μB per atom: 1.240
Formation enthalpy at 0 K in eV/atom: 0.0351

```
TaMn2Pd2
1.0
7.305 0.000 0.000
0.000 7.305 0.000
0.000 0.000 2.886
Ta Mn Pd
2 4 4
direct
0.000 0.000 0.000 Ta
0.500 0.500 0.000 Ta
0.151 0.349 0.000 Mn
0.349 0.849 0.000 Mn
0.651 0.151 0.000 Mn
0.849 0.651 0.000 Mn
0.147 0.647 0.500 Pd
0.353 0.147 0.500 Pd
0.647 0.853 0.500 Pd
0.853 0.353 0.500 Pd
```

=====

(3)
## AcZnH8Rh2 (PBE-GGA)

Data for a geometry-optimized AcZnH8Rh2 structure.

M_tot in μB per atom: 0.000
Total energy in hartree per atom: -0.151

```
AcZnH8Rh2
1.0
2.385 1.377 5.876
-2.385 1.377 5.876
0.000 -2.754 5.876
Ac Zn H Rh
1 1 8 2
direct
0.000 0.000 0.000 Ac
0.500 0.500 0.500 Zn
0.115 0.407 0.838 H
0.162 0.885 0.593 H
0.300 0.300 0.300 H
0.407 0.838 0.115 H
0.593 0.162 0.885 H
0.700 0.700 0.700 H
0.838 0.115 0.407 H
0.885 0.593 0.162 H
0.201 0.201 0.201 Rh
0.799 0.799 0.799 Rh
```